The following is a DFT calculation (PBE) of a relaxed In2AgOs crystal.

Calculated values
**Calculated formation energy**: 0.461 eV per atom
**E_tot**: -4.428 eV/atom
**Total magnetization**: 0.65 μB/f.u.

Lattice parameters (Å, degrees): 4.801 4.801 5.602 100.24 100.24 37.08
Positions (direct):
In 0.243 0.243 0.236
In 0.757 0.757 0.764
Ag 0.000 0.000 0.500
Os 0.500 0.500 0.000


The following is a DFT calculation (PBE) of a relaxed In2AgOs crystal.

Calculated values
**Calculated formation energy**: 0.641 eV per atom
**E_tot**: -4.248 eV/atom
**Total magnetization**: 0.00 μB/f.u.

Lattice parameters (Å, degrees): 4.732 4.732 4.732 60.00 60.00 60.00
Positions (direct):
In 0.000 0.000 0.000
In 0.250 0.250 0.250
Ag 0.500 0.500 0.500
Os 0.750 0.750 0.750


The following is a DFT calculation (PBE) of a relaxed InAgOs2 crystal.

Calculated values
**Calculated formation energy**: 0.652 eV per atom
**E_tot**: -6.360 eV/atom
**Total magnetization**: 0.00 μB/f.u.

Lattice parameters (Å, degrees): 5.000 5.000 4.941 101.31 101.31 33.17
Positions (direct):
In 0.000 0.000 0.000
Ag 0.500 0.500 0.500
Os 0.255 0.255 0.732
Os 0.745 0.745 0.268


Among the records above, which one has the lowest calculated formation energy?
number 1


Number 2 is which compound?
In2AgOs